A relaxed structure of RbV3Ag, computed with PBE-GGA.

abc: 4.5113 4.5113 4.5113
angles: 90.00 90.00 90.00
Space group Pm-3m (No. 221)
Asymmetric unit:
Rb: 0.0000 0.0000 0.0000 x1
V: 0.0000 0.0000 0.5000 x3
Ag: 0.5000 0.5000 0.5000 x1

Values from the calculation:
**Crystal system**: cubic
**Density of states at the Fermi level**: 2.166 states/eV per atom
**Calculated density**: 6.3 g/cm3
**Energy above the lowest structure with this stoichiometry**: 939.7 meV/atom
**Energy relative to the elements**: 2570 meV/atom
**Total magnetization**: 0.0307 μB per atom